VASP calculation (SCAN) on TaReTeOs2 at its PBEsol-relaxed geometry.

abc: 4.663 4.663 4.710
angles: 90.00 90.00 90.00
Sites, in units of the cell vectors:
Ta1 0.000 0.000 0.000
Re1 0.500 0.500 0.000
Te1 0.500 0.500 0.500
Os1 0.000 0.500 0.500
Os2 0.500 0.000 0.500

Results
symmetry	P4/mmm, No. 123
DOS(E_F)	5.1	states/eV/cell
formation energy (no corrections)	2.58	eV per atom